Record 1
Here is a PBEsol-optimized structure of YMg2Tl from the Alexandria database. Energies are from SCAN.

E above lowest polymorph (eV/atom): 0.135

Lattice parameters (Å, degrees): 11.599 3.821 5.019 90.00 115.31 90.00
Space group C2/m (No. 12)
Symmetry-distinct sites (fractional):
Y 0.000 0.000 0.000 (multiplicity 2)
Mg 0.236 0.000 0.736 (multiplicity 4)
Tl 0.000 0.500 0.500 (multiplicity 2)


Record 2
Here is a PBEsol-optimized structure of Y2MgTl2 from the Alexandria database. Energies are from SCAN.

Energy (eV/cell): -416.5

Lattice parameters (Å, degrees): 7.658 7.658 4.471 90.00 90.00 90.00
Space group P4/mbm (No. 127)
Symmetry-distinct sites (fractional):
Y 0.168 0.332 0.000 (multiplicity 4)
Mg 0.000 0.000 0.500 (multiplicity 2)
Tl 0.138 0.638 0.500 (multiplicity 4)


no.,Fermi-level density of states (states/eV per cell)
1,5.31
2,6.17